<w>
Material: Fe2ReAu
Method: DFT, GGA-PBE
State: optimized geometry

a = 5.4236 Å, b = 5.4236 Å, c = 5.4236 Å
α = 104.39°, β = 104.39°, γ = 120.19°
Element x y z (fractional)
Fe 0.0864 0.6250 0.9614
Fe 0.3750 0.3364 0.4614
Fe 0.6636 0.1250 0.0386
Fe 0.8750 0.9136 0.5386
Re 0.0000 0.0000 0.0000
Re 0.7500 0.2500 0.5000
Au 0.2500 0.7500 0.5000
Au 0.5000 0.5000 0.0000

Values from the calculation:
Density of states at the Fermi level, states/eV per cell: 1.101
Spin magnetization, μB/f.u.: 0.00

***

<x>
Material: Fe2ReAu
Method: DFT, GGA-PBE
State: optimized geometry

a = 4.5586 Å, b = 4.5586 Å, c = 4.8648 Å
α = 98.25°, β = 98.25°, γ = 34.53°
Element x y z (fractional)
Fe 0.2475 0.2475 0.2236
Fe 0.7525 0.7525 0.7764
Re 0.5000 0.5000 0.0000
Au 0.0000 0.0000 0.5000

Values from the calculation:
Density of states at the Fermi level, states/eV per cell: 4.469
Spin magnetization, μB/f.u.: 4.28

***

What are the relative energies? In meV per atom: <w> 446; <x> 0.